# Cs2LiUBr6, relaxed, DFT PBE
# - electronic total energy (eV/atom) = -4.0529
# - M_tot (μB per cell) = 18.00
# - ρ (Mg/m³) = 4.4
data_Cs2LiUBr6
_cell_length_a 8.0222
_cell_length_b 8.0222
_cell_length_c 40.5243
_cell_angle_alpha 90.00
_cell_angle_beta 90.00
_cell_angle_gamma 120.00
_space_group_name_H-M_alt 'R -3 m'
_space_group_IT_number 166
_space_group_name_Hall '-R 3 2"'
loop_
_atom_site_label
_atom_site_fract_x
_atom_site_fract_y
_atom_site_fract_z
Cs1 0.0000 0.0000 0.1270
Cs2 0.0000 0.0000 0.2911
Li1 0.0000 0.0000 0.0000
Li2 0.0000 0.0000 0.5000
U1 0.0000 0.0000 0.4133
Br1 0.0094 0.5047 0.7064
Br2 0.0097 0.5048 0.1255